No. 1
The following is a PBE-GGA calculation of a geometry-optimized Er8Tl2Sb structure, from Alexandria via LeMat-Bulk.

Volume (Å³/f.u.): 324.08
M_tot (μB per atom): 0.0070
Formation energy from raw total energies (eV per atom): -0.164

Cell: 8.6511 14.5013 5.6247 Å, 90.00 113.28 90.00°
Space group C2/m (No. 12)
Symmetry-distinct sites (fractional):
Er  0.0000  0.2181  0.0000 [4 per cell]
Er  0.0998  0.5000  0.7977 [4 per cell]
Er  0.2085  0.1133  0.6229 [8 per cell]
Tl  0.0000  0.3048  0.5000 [4 per cell]
Sb  0.0000  0.0000  0.0000 [2 per cell]

No. 2
The following is a PBE-GGA calculation of a geometry-optimized Er5Tl2Sb structure, from Alexandria via LeMat-Bulk.

ΔE to the lowest computed polymorph (eV per atom): 0.147
Volume (Å³/f.u.): 219.31
M_tot (μB per atom): 0.0000
Formation energy from raw total energies (eV per atom): -0.301

Cell: 7.5116 7.5116 7.7735 Å, 90.00 90.00 90.00°
Space group I4mm (No. 107)
Symmetry-distinct sites (fractional):
Er  0.0000  0.0000  0.0000 [2 per cell]
Er  0.2336  0.2336  0.7053 [8 per cell]
Tl  0.0000  0.5000  0.4667 [4 per cell]
Sb  0.0000  0.0000  0.4038 [2 per cell]

No. 3
The following is a PBE-GGA calculation of a geometry-optimized ErTl2Sb structure, from Alexandria via LeMat-Bulk.

Volume (Å³/f.u.): 124.14
M_tot (μB per atom): 0.0000
Formation energy from raw total energies (eV per atom): 0.154

Cell: 3.4865 3.4865 35.3789 Å, 90.00 90.00 120.00°
Space group R-3m (No. 166, hexagonal axes)
Symmetry-distinct sites (fractional):
Er  0.0000  0.0000  0.0000 [3 per cell]
Tl  0.0000  0.0000  0.0891 [6 per cell]
Sb  0.0000  0.0000  0.5000 [3 per cell]

No. 4
The following is a PBE-GGA calculation of a geometry-optimized Er3TlSb structure, from Alexandria via LeMat-Bulk.

Volume (Å³/f.u.): 140.51
M_tot (μB per atom): 0.0000
Formation energy from raw total energies (eV per atom): -0.459

Cell: 8.3243 4.0414 8.4379 Å, 90.00 98.11 90.00°
Space group Pm (No. 6)
Symmetry-distinct sites (fractional):
Er  0.0000  0.0000  0.0000 [1 per cell]
Er  0.0449  0.5000  0.3410 [1 per cell]
Er  0.3593  0.5000  0.9587 [1 per cell]
Er  0.4191  0.5000  0.5279 [1 per cell]
Er  0.6875  0.0000  0.3573 [1 per cell]
Er  0.8517  0.5000  0.6887 [1 per cell]
Tl  0.1445  0.0000  0.6664 [1 per cell]
Tl  0.7350  0.5000  0.0866 [1 per cell]
Sb  0.3127  0.0000  0.2401 [1 per cell]
Sb  0.6018  0.0000  0.7792 [1 per cell]

No. 5
The following is a PBE-GGA calculation of a geometry-optimized Er8Tl3Sb2 structure, from Alexandria via LeMat-Bulk.

Volume (Å³/f.u.): 379.75
M_tot (μB per atom): 0.0000
Formation energy from raw total energies (eV per atom): -0.278

Cell: 8.7142 15.9962 5.4485 Å, 90.00 90.00 90.00°
Space group Cmmm (No. 65)
Symmetry-distinct sites (fractional):
Er  0.0000  0.1090  0.0000 [4 per cell]
Er  0.0000  0.3188  0.0000 [4 per cell]
Er  0.2070  0.3827  0.5000 [8 per cell]
Tl  0.0000  0.0000  0.5000 [2 per cell]
Tl  0.1828  0.5000  0.0000 [4 per cell]
Sb  0.0000  0.2252  0.5000 [4 per cell]

No. 6
The following is a PBE-GGA calculation of a geometry-optimized Er2TlSb structure, from Alexandria via LeMat-Bulk.

ΔE to the lowest computed polymorph (eV per atom): 0.055
Volume (Å³/f.u.): 107.01
M_tot (μB per atom): 0.0018
Formation energy from raw total energies (eV per atom): -0.555

Cell: 3.9354 3.9354 6.9091 Å, 90.00 90.00 90.00°
Space group P4/mmm (No. 123)
Symmetry-distinct sites (fractional):
Er  0.0000  0.0000  0.2401 [2 per cell]
Tl  0.5000  0.5000  0.5000 [1 per cell]
Sb  0.5000  0.5000  0.0000 [1 per cell]